Here is an optimized crystal structure of MnCdTe2 from Alexandria. Energies are from GGA-PBE.

Values from the calculation:
E_form (uncorrected) (eV/atom): 0.116
M_tot (μB/atom): 1.2161
Calculated volume (Å³/cell): 132.6

Cell and atoms, written as CIF:
```
data_MnCdTe2
_chemical_formula_sum 'Mn1 Cd1 Te2'
_symmetry_space_group_name_H-M 'P m m m'
_symmetry_Int_Tables_number 47
_symmetry_space_group_name_Hall '-P 2 2'
_cell_length_a 3.9811
_cell_length_b 4.0680
_cell_length_c 8.1853
_cell_angle_alpha 90.00
_cell_angle_beta 90.00
_cell_angle_gamma 90.00
loop_
_atom_site_label
_atom_site_type_symbol
_atom_site_fract_x
_atom_site_fract_y
_atom_site_fract_z
Mn1 Mn 0.0000 0.0000 0.0000
Cd1 Cd 0.0000 0.5000 0.5000
Te1 Te 0.5000 0.0000 0.5000
Te2 Te 0.5000 0.5000 0.0000
```

Here is an optimized crystal structure of La5Pr2Nd6 from Alexandria. Energies are from GGA-PBE.

Values from the calculation:
E_form (eV/atom): 0.08
M_tot (μB/atom): 0.0000
Calculated volume (Å³/cell): 947.8

Cell and atoms, written as CIF:
```
data_La5Pr2Nd6
_chemical_formula_sum 'La10 Pr4 Nd12'
_symmetry_space_group_name_H-M 'P b a m'
_symmetry_Int_Tables_number 55
_symmetry_space_group_name_Hall '-P 2 2ab'
_cell_length_a 12.0651
_cell_length_b 21.2138
_cell_length_c 3.7031
_cell_angle_alpha 90.00
_cell_angle_beta 90.00
_cell_angle_gamma 90.00
loop_
_atom_site_label
_atom_site_type_symbol
_atom_site_fract_x
_atom_site_fract_y
_atom_site_fract_z
La1 La 0.0000 0.0000 0.0000
La2 La 0.0794 0.2768 0.0000
La3 La 0.2013 0.5517 0.0000
Pr1 Pr 0.1758 0.7149 0.5000
Nd1 Nd 0.0592 0.4223 0.5000
Nd2 Nd 0.0780 0.1335 0.5000
Nd3 Nd 0.1811 0.8678 0.0000
```

Here is an optimized crystal structure of NaLi14Mg from Alexandria. Energies are from GGA-PBE.

Values from the calculation:
E_form (eV/atom): 0.01
M_tot (μB/atom): 0.0000
Calculated volume (Å³/cell): 336.9

Cell and atoms, written as CIF:
```
data_NaLi14Mg
_chemical_formula_sum 'Na1 Li14 Mg1'
_symmetry_space_group_name_H-M 'P 4/m m m'
_symmetry_Int_Tables_number 123
_symmetry_space_group_name_Hall '-P 4 2'
_cell_length_a 6.3752
_cell_length_b 6.3752
_cell_length_c 8.2894
_cell_angle_alpha 90.00
_cell_angle_beta 90.00
_cell_angle_gamma 90.00
loop_
_atom_site_label
_atom_site_type_symbol
_atom_site_fract_x
_atom_site_fract_y
_atom_site_fract_z
Na1 Na 0.0000 0.0000 0.0000
Li1 Li 0.0000 0.0000 0.5000
Li2 Li 0.0000 0.5000 0.0000
Li3 Li 0.0000 0.5000 0.5000
Li4 Li 0.2577 0.2577 0.2582
Li5 Li 0.5000 0.5000 0.5000
Mg1 Mg 0.5000 0.5000 0.0000
```

Here is an optimized crystal structure of YMg2Mo from Alexandria. Energies are from GGA-PBE.

Values from the calculation:
E_form (eV/atom): 0.32
M_tot (μB/atom): 0.0000
Calculated volume (Å³/cell): 174.0

Cell and atoms, written as CIF:
```
data_YMg2Mo
_chemical_formula_sum 'Y2 Mg4 Mo2'
_symmetry_space_group_name_H-M 'C 1 2/m 1'
_symmetry_Int_Tables_number 12
_symmetry_space_group_name_Hall '-C 2y'
_cell_length_a 10.9239
_cell_length_b 3.0760
_cell_length_c 5.3035
_cell_angle_alpha 90.00
_cell_angle_beta 102.44
_cell_angle_gamma 90.00
loop_
_atom_site_label
_atom_site_type_symbol
_atom_site_fract_x
_atom_site_fract_y
_atom_site_fract_z
Y1 Y 0.0000 0.0000 0.0000
Mg1 Mg 0.2316 0.0000 0.7225
Mo1 Mo 0.0000 0.5000 0.5000
```

Here is an optimized crystal structure of BiMo3W from Alexandria. Energies are from GGA-PBE.

Values from the calculation:
E_form (eV/atom): 1.60
M_tot (μB/atom): 0.5206
Calculated volume (Å³/cell): 113.4

Cell and atoms, written as CIF:
```
data_BiMo3W
_chemical_formula_sum 'Bi1 Mo3 W1'
_symmetry_space_group_name_H-M 'P m -3 m'
_symmetry_Int_Tables_number 221
_symmetry_space_group_name_Hall '-P 4 2 3'
_cell_length_a 4.8406
_cell_length_b 4.8406
_cell_length_c 4.8406
_cell_angle_alpha 90.00
_cell_angle_beta 90.00
_cell_angle_gamma 90.00
loop_
_atom_site_label
_atom_site_type_symbol
_atom_site_fract_x
_atom_site_fract_y
_atom_site_fract_z
Bi1 Bi 0.0000 0.0000 0.0000
Mo1 Mo 0.0000 0.5000 0.5000
W1 W 0.5000 0.5000 0.5000
```

> The highest calculated volume belongs to which entry?

La5Pr2Nd6

> Number 3 is which compound?

NaLi14Mg

> M_tot of number 1 (MnCdTe2)?

1.2161 μB/atom

> Which formula does entry 2 have?

La5Pr2Nd6